VASP calculation (GGA-PBE) on a relaxed structure of CeMgP2Ir5.

VASP energy	-7.40	eV/atom
energy of formation	-3.91	eV/f.u.
ρ	11.77	g cm⁻³
symmetry	P4/mmm, No. 123
DOS at the Fermi energy	8.966	states/eV/cell

abc: 4.002 4.002 10.463
angles: 90.00 90.00 90.00
Fractional positions:
Ce  0.000  0.000  0.000
Mg  0.000  0.000  0.500
P  0.500  0.500  0.220
P  0.500  0.500  0.780
Ir  0.000  0.500  0.323
Ir  0.000  0.500  0.677
Ir  0.500  0.000  0.323
Ir  0.500  0.000  0.677
Ir  0.500  0.500  0.000


VASP calculation (GGA-PBE) on a relaxed structure of Ba5Cd4In.

VASP energy	-1.94	eV/atom
energy of formation	-3.42	eV/f.u.
ρ	5.37	g cm⁻³
symmetry	P4/mmm, No. 123
DOS at the Fermi energy	5.662	states/eV/cell

abc: 4.264 4.264 21.291
angles: 90.00 90.00 90.00
Fractional positions:
Ba  0.000  0.000  0.000
Ba  0.000  0.000  0.200
Ba  0.000  0.000  0.401
Ba  0.000  0.000  0.599
Ba  0.000  0.000  0.800
Cd  0.500  0.500  0.099
Cd  0.500  0.500  0.301
Cd  0.500  0.500  0.699
Cd  0.500  0.500  0.901
In  0.500  0.500  0.500